# 1
DFT (PBE) results for a geometry-optimized NbZnI2N structure.

Space-group type: P4/mmm, No. 123
DOS(E_F) (states/eV/cell): 2.7
ΔE_f (raw) (eV/atom): 0.983
Electronic total energy (eV per atom): -3.57

abc: 5.716 5.716 3.710
angles: 90.00 90.00 90.00
Fractional coordinates of all 5 atoms:
Nb 0.000 0.000 0.000
Zn 0.500 0.500 0.500
I 0.000 0.500 0.500
I 0.500 0.000 0.500
N 0.500 0.500 0.000

=====

# 2
DFT (PBE) results for a geometry-optimized LaLuCuIr structure.

Energy relative to the elements (eV/f.u.): -2.025
Space-group type: F-43m, No. 216
DOS(E_F) (states/eV/cell): 2.3
Electronic total energy (eV per atom): -6.11

abc: 4.954 4.954 4.954
angles: 60.00 60.00 60.00
Fractional coordinates of all 4 atoms:
La 0.000 0.000 0.000
Lu 0.500 0.500 0.500
Cu 0.250 0.250 0.250
Ir 0.750 0.750 0.750